--- i ---
{"formula": "Li2V2F7", "functional": "PBE with a Hubbard U", "state": "relaxed", "lattice_angstrom": [[5.544, 0.000, 0.000], [1.230, 6.865, 0.000], [0.360, 3.250, 7.108]], "species": ["Li", "Li", "Li", "Li", "V", "V", "V", "V", "F", "F", "F", "F", "F", "F", "F", "F", "F", "F", "F", "F", "F", "F"], "fractional_positions": [[0.179, 0.168, 0.255], [0.247, 0.687, 0.501], [0.753, 0.313, 0.499], [0.821, 0.832, 0.745], [0.241, 0.154, 0.716], [0.357, 0.691, 0.062], [0.643, 0.309, 0.938], [0.759, 0.846, 0.284], [0.097, 0.231, 0.467], [0.097, 0.697, 0.265], [0.151, 0.855, 0.795], [0.274, 0.036, 0.987], [0.350, 0.377, 0.099], [0.380, 0.415, 0.696], [0.429, 0.918, 0.368], [0.571, 0.082, 0.632], [0.620, 0.585, 0.304], [0.650, 0.623, 0.901], [0.726, 0.964, 0.013], [0.849, 0.145, 0.205], [0.903, 0.303, 0.735], [0.903, 0.769, 0.533]], "sg": "P-1", "total_magnetization_mub_per_cell": 10.000}


--- ii ---
{"formula": "Li2V2F7", "functional": "PBE with a Hubbard U", "state": "relaxed", "lattice_angstrom": [[3.801, -3.355, 0.000], [3.801, 3.355, 0.000], [-1.655, 0.000, 10.221]], "species": ["Li", "Li", "Li", "Li", "V", "V", "V", "V", "F", "F", "F", "F", "F", "F", "F", "F", "F", "F", "F", "F", "F", "F"], "fractional_positions": [[0.154, 0.762, 0.517], [0.238, 0.846, 0.983], [0.762, 0.154, 0.017], [0.846, 0.238, 0.483], [0.232, 0.240, 0.753], [0.240, 0.232, 0.253], [0.760, 0.768, 0.747], [0.768, 0.760, 0.247], [0.001, 0.506, 0.376], [0.007, 0.931, 0.130], [0.069, 0.993, 0.370], [0.071, 0.567, 0.870], [0.433, 0.929, 0.630], [0.460, 0.540, 0.250], [0.494, 0.999, 0.124], [0.506, 0.001, 0.876], [0.540, 0.460, 0.750], [0.567, 0.071, 0.370], [0.929, 0.433, 0.130], [0.931, 0.007, 0.630], [0.993, 0.069, 0.870], [0.999, 0.494, 0.624]], "sg": "C2/c", "total_magnetization_mub_per_cell": 10.000}


Most stable to least stable: i, ii


--- i ---
{"formula": "Li3VF", "functional": "PBE with a Hubbard U", "state": "relaxed", "lattice_angstrom": [[5.116, 0.000, 0.000], [0.000, 5.116, 0.000], [0.000, 0.000, 5.116]], "species": ["Li", "Li", "Li", "V", "F"], "fractional_positions": [[0.000, 0.000, 0.500], [0.000, 0.500, 0.000], [0.500, 0.000, 0.000], [0.000, 0.000, 0.000], [0.500, 0.500, 0.500]], "sg": "Pm-3m", "total_magnetization_mub_per_cell": 4.988}


--- ii ---
{"formula": "Li3VF", "functional": "PBE with a Hubbard U", "state": "relaxed", "lattice_angstrom": [[4.214, 0.000, 0.000], [0.000, 4.214, 0.000], [0.000, 0.000, 4.214]], "species": ["Li", "Li", "Li", "V", "F"], "fractional_positions": [[0.000, 0.000, 0.500], [0.000, 0.500, 0.000], [0.500, 0.000, 0.000], [0.500, 0.500, 0.500], [0.000, 0.000, 0.000]], "sg": "Pm-3m", "total_magnetization_mub_per_cell": 5.005}


Most stable to least stable: ii, i


--- i ---
{"formula": "Li2VF7", "functional": "PBE with a Hubbard U", "state": "relaxed", "lattice_angstrom": [[6.913, 0.000, 0.000], [0.000, 6.994, 0.000], [0.000, 0.000, 10.368]], "species": ["Li", "Li", "Li", "Li", "Li", "Li", "Li", "Li", "V", "V", "V", "V", "F", "F", "F", "F", "F", "F", "F", "F", "F", "F", "F", "F", "F", "F", "F", "F", "F", "F", "F", "F", "F", "F", "F", "F", "F", "F", "F", "F"], "fractional_positions": [[0.150, 0.250, 0.228], [0.176, 0.750, 0.994], [0.324, 0.250, 0.494], [0.350, 0.750, 0.728], [0.650, 0.250, 0.272], [0.676, 0.750, 0.506], [0.824, 0.250, 0.006], [0.850, 0.750, 0.772], [0.204, 0.750, 0.434], [0.296, 0.250, 0.934], [0.704, 0.750, 0.066], [0.796, 0.250, 0.566], [0.041, 0.250, 0.499], [0.044, 0.250, 0.885], [0.113, 0.750, 0.822], [0.143, 0.566, 0.323], [0.143, 0.934, 0.323], [0.229, 0.068, 0.056], [0.229, 0.432, 0.056], [0.271, 0.568, 0.556], [0.271, 0.932, 0.556], [0.357, 0.066, 0.823], [0.357, 0.434, 0.823], [0.387, 0.250, 0.322], [0.456, 0.750, 0.385], [0.459, 0.750, 0.999], [0.541, 0.250, 0.001], [0.544, 0.250, 0.615], [0.613, 0.750, 0.678], [0.643, 0.566, 0.177], [0.643, 0.934, 0.177], [0.729, 0.068, 0.444], [0.729, 0.432, 0.444], [0.771, 0.568, 0.944], [0.771, 0.932, 0.944], [0.857, 0.066, 0.677], [0.857, 0.434, 0.677], [0.887, 0.250, 0.178], [0.956, 0.750, 0.115], [0.959, 0.750, 0.501]], "sg": "Pnma", "total_magnetization_mub_per_cell": 0.219}


--- ii ---
{"formula": "Li2VF7", "functional": "PBE with a Hubbard U", "state": "relaxed", "lattice_angstrom": [[-2.978, 3.295, 3.773], [2.978, -3.295, 3.773], [2.978, 3.295, -3.773]], "species": ["Li", "Li", "V", "F", "F", "F", "F", "F", "F", "F"], "fractional_positions": [[0.234, 0.000, 0.234], [0.766, 0.000, 0.766], [0.873, 0.373, 0.500], [0.056, 0.146, 0.479], [0.056, 0.577, 0.910], [0.106, 0.606, 0.500], [0.112, 0.112, 0.000], [0.618, 0.118, 0.500], [0.667, 0.146, 0.090], [0.667, 0.577, 0.521]], "sg": "Imm2", "total_magnetization_mub_per_cell": 0.070}


Most stable to least stable: i, ii


--- i ---
{"formula": "Li3WF", "functional": "PBE with a Hubbard U", "state": "relaxed", "lattice_angstrom": [[4.304, 0.000, 0.000], [0.000, 4.304, 0.000], [0.000, 0.000, 4.304]], "species": ["Li", "Li", "Li", "W", "F"], "fractional_positions": [[0.000, 0.000, 0.500], [0.000, 0.500, 0.000], [0.500, 0.000, 0.000], [0.500, 0.500, 0.500], [0.000, 0.000, 0.000]], "sg": "Pm-3m", "total_magnetization_mub_per_cell": 5.539}


--- ii ---
{"formula": "Li3WF", "functional": "PBE with a Hubbard U", "state": "relaxed", "lattice_angstrom": [[5.382, 0.000, 0.000], [0.000, 5.382, 0.000], [0.000, 0.000, 5.382]], "species": ["Li", "Li", "Li", "W", "F"], "fractional_positions": [[0.000, 0.000, 0.500], [0.000, 0.500, 0.000], [0.500, 0.000, 0.000], [0.000, 0.000, 0.000], [0.500, 0.500, 0.500]], "sg": "Pm-3m", "total_magnetization_mub_per_cell": 6.000}


Most stable to least stable: i, ii